The following is a DFT calculation (GGA-PBE) of a relaxed Cs2Hg7Sb crystal.

The structure in POSCAR format:
```
Cs2Hg7Sb
1.0
8.342 0.000 0.000
4.171 7.224 0.000
4.171 2.408 6.811
Hg Sb Cs
7 1 2
Direct
0.254 0.746 0.746
0.746 0.254 0.254
0.254 0.746 0.254
0.746 0.746 0.254
0.254 0.254 0.746
0.746 0.254 0.746
0.500 0.500 0.500
0.000 0.000 0.000
0.250 0.250 0.250
0.750 0.750 0.750
```

raw formation energy	-0.101	eV/atom
E above lowest polymorph	99	meV/atom